Entry 1:
TlRu2Pt | PBE | optimized geometry

Cell: 2.918 2.918 7.708 Å, 90.00 90.00 90.00°
Atoms (fractional coordinates):
Pt1 0.500 0.500 0.750
Ru1 0.000 0.000 0.979
Ru2 0.000 0.000 0.521
Tl1 0.500 0.500 0.250

calculated formation energy	455	meV per atom

Entry 2:
YTePtI2 | PBE | optimized geometry

Cell: 5.352 5.352 5.505 Å, 90.00 90.00 90.00°
Atoms (fractional coordinates):
I1 0.000 0.500 0.000
I2 0.500 0.000 0.000
Y1 0.500 0.500 0.500
Te1 0.000 0.000 0.500
Pt1 0.000 0.000 0.000

E_tot	-3.92	eV/atom

no.,volume (Å³/cell)
1,65.6
2,157.7